# Tb4Pm2Nd PBE relaxed
# energy of formation from the pure elements: 41 meV/atom
# theoretical density: 7.64 Mg/m³
# total magnetic moment: 0.0 μB per cell
data_Tb4Pm2Nd
_chemical_formula_sum 'Tb8 Pm4 Nd2'
_cell_length_a 16.927
_cell_length_b 3.567
_cell_length_c 8.862
_cell_angle_alpha 90.00
_cell_angle_beta 119.66
_cell_angle_gamma 90.00
_symmetry_space_group_name_H-M 'C 1 2/m 1'
_symmetry_Int_Tables_number 12
_symmetry_space_group_name_Hall '-C 2y'
loop_
_atom_site_label
_atom_site_type_symbol
_atom_site_fract_x
_atom_site_fract_y
_atom_site_fract_z
_atom_site_occupancy
Tb1 Tb 0.145 0.000 0.343 1
Tb2 Tb 0.207 0.000 0.793 1
Pm1 Pm 0.069 0.500 0.928 1
Nd1 Nd 0.000 0.500 0.500 1